Entry from the Alexandria database: crystalline ScPRu2 at its relaxed geometry (PBE).

D(E_F)	2.79	states/eV/f.u.
energy relative to the elements	-0.4432	eV per atom
symmetry	P2/m

Unit cell a=3.0543 b=3.6920 c=5.6624 alpha=90.00 beta=105.21 gamma=90.00
With the nearest neighbours (Å) after each atom.
Atoms (fractional coordinates):
Sc: 0.0000 0.0000 0.0000  8 Ru 2.82-2.87, 2 P 2.84, 2 Sc 3.05
P: 0.5000 0.0000 0.5000  4 Ru 2.31
Ru: 0.3773 0.5000 0.7194  2 P 2.31
Ru: 0.6227 0.5000 0.2806  2 P 2.31